PmY2Pu3Te6: relaxed, PBE-GGA.

The structure in POSCAR format:
```
PmY2Pu3Te6
1.0
4.397 0.000 0.000
0.000 8.861 0.263
-2.198 -2.608 9.292
Pm Y Pu Te
1 2 3 6
Direct
0.500 0.000 0.000
0.834 0.668 0.667
0.166 0.332 0.333
0.500 0.500 0.000
0.835 0.167 0.670
0.165 0.833 0.330
0.332 0.913 0.663
0.668 0.580 0.336
0.668 0.087 0.337
0.002 0.254 0.003
0.998 0.746 0.997
0.332 0.420 0.664
```

Values from the calculation:
symmetry = C2/m
formation energy from raw total energies = -1.243 eV per atom
spin magnetization = 17.91 μB/f.u.
total energy = -7.870 eV/atom
volume = 365.01 Å³ per cell
Fermi-level density of states = 33.00 states/eV per cell